[1]
VASP calculation (PBE-GGA) on an optimized crystal structure of Sm3Cu2Rh.

- theoretical density (g/cm3) = 7.957
- total energy (eV per atom) = -5.30
- calculated volume (Å³/cell) = 568
- DFT formation energy (eV/atom) = -0.351

The structure in CIF format:
```
data_Sm3Cu2Rh
_chemical_formula_sum 'Sm12 Cu8 Rh4'
_symmetry_space_group_name_H-M 'P n m a'
_symmetry_Int_Tables_number 62
_symmetry_space_group_name_Hall '-P 2ac 2n'
_cell_length_a 11.7469
_cell_length_b 4.2237
_cell_length_c 11.4580
_cell_angle_alpha 90.00
_cell_angle_beta 90.00
_cell_angle_gamma 90.00
loop_
_atom_site_label
_atom_site_fract_x
_atom_site_fract_y
_atom_site_fract_z
_atom_site_occupancy
Sm1 0.0508 0.2500 0.1238 1
Sm2 0.1181 0.7500 0.5551 1
Sm3 0.2260 0.2500 0.7961 1
Cu1 0.0096 0.7500 0.3065 1
Cu2 0.1947 0.7500 0.0000 1
Rh1 0.1226 0.2500 0.3682 1
```

[2]
VASP calculation (PBE-GGA) on an optimized crystal structure of MoAsN.

- theoretical density (g/cm3) = 6.774
- total energy (eV per atom) = -7.95
- calculated volume (Å³/cell) = 45
- E_form (uncorrected) (meV per atom) = -17

The structure in CIF format:
```
data_MoAsN
_chemical_formula_sum 'Mo1 As1 N1'
_symmetry_space_group_name_H-M 'P m m m'
_symmetry_Int_Tables_number 47
_symmetry_space_group_name_Hall '-P 2 2'
_cell_length_a 2.8854
_cell_length_b 2.8997
_cell_length_c 5.4165
_cell_angle_alpha 90.00
_cell_angle_beta 90.00
_cell_angle_gamma 90.00
loop_
_atom_site_label
_atom_site_fract_x
_atom_site_fract_y
_atom_site_fract_z
_atom_site_occupancy
Mo1 0.0000 0.0000 0.0000 1
As1 0.0000 0.0000 0.5000 1
N1 0.5000 0.5000 0.0000 1
```

[3]
VASP calculation (PBE-GGA) on an optimized crystal structure of Pu2InSiAu6.

- theoretical density (g/cm3) = 13.002
- total energy (eV per atom) = -5.86
- calculated volume (Å³/cell) = 463
- E_form (uncorrected) (meV per atom) = -216

The structure in CIF format:
```
data_Pu2InSiAu6
_chemical_formula_sum 'Pu4 In2 Si2 Au12'
_symmetry_space_group_name_H-M 'P m m n'
_symmetry_Int_Tables_number 59
_cell_length_a 5.8382
_cell_length_b 8.6720
_cell_length_c 9.1451
_cell_angle_alpha 90.00
_cell_angle_beta 90.00
_cell_angle_gamma 90.00
loop_
_symmetry_equiv_pos_as_xyz
'x,y,z'
'-x,-y,-z'
'-x+1/2,-y+1/2,z'
'x+1/2,y+1/2,-z'
'x+1/2,-y,-z'
'-x+1/2,y,z'
'-x,y+1/2,-z'
'x,-y+1/2,z'
loop_
_atom_site_label
_atom_site_fract_x
_atom_site_fract_y
_atom_site_fract_z
_atom_site_occupancy
Pu1 0.2500 0.0015 0.2376 1
In1 0.2500 0.2500 0.7892 1
Si1 0.2500 0.7500 0.7476 1
Au1 0.0022 0.2500 0.5110 1
Au2 0.0052 0.7500 0.9645 1
Au3 0.2500 0.5071 0.6146 1
```

[4]
VASP calculation (PBE-GGA) on an optimized crystal structure of Sr2YMo.

- theoretical density (g/cm3) = 4.568
- total energy (eV per atom) = -4.25
- calculated volume (Å³/cell) = 131
- excess energy over the best structure of this formula in the dataset (eV/atom) = 0.3966
- DFT formation energy (eV/atom) = 0.915

The structure in CIF format:
```
data_Sr2YMo
_chemical_formula_sum 'Sr2 Y1 Mo1'
_symmetry_space_group_name_H-M 'P m m m'
_symmetry_Int_Tables_number 47
_symmetry_space_group_name_Hall '-P 2 2'
_cell_length_a 3.6920
_cell_length_b 5.0182
_cell_length_c 7.0651
_cell_angle_alpha 90.00
_cell_angle_beta 90.00
_cell_angle_gamma 90.00
loop_
_atom_site_label
_atom_site_fract_x
_atom_site_fract_y
_atom_site_fract_z
_atom_site_occupancy
Sr1 0.0000 0.0000 0.2287 1
Y1 0.5000 0.5000 0.5000 1
Mo1 0.5000 0.5000 0.0000 1
```

[5]
VASP calculation (PBE-GGA) on an optimized crystal structure of CsLiGe3.

- theoretical density (g/cm3) = 2.968
- total energy (eV per atom) = -1.75
- calculated volume (Å³/cell) = 200
- excess energy over the best structure of this formula in the dataset (eV/atom) = 1.1056
- DFT formation energy (eV/atom) = 1.574

The structure in CIF format:
```
data_CsLiGe3
_chemical_formula_sum 'Cs1 Li1 Ge3'
_symmetry_space_group_name_H-M 'P m -3 m'
_symmetry_Int_Tables_number 221
_symmetry_space_group_name_Hall '-P 4 2 3'
_cell_length_a 5.8497
_cell_length_b 5.8497
_cell_length_c 5.8497
_cell_angle_alpha 90.00
_cell_angle_beta 90.00
_cell_angle_gamma 90.00
loop_
_atom_site_label
_atom_site_fract_x
_atom_site_fract_y
_atom_site_fract_z
_atom_site_occupancy
Cs1 0.0000 0.0000 0.0000 1
Li1 0.5000 0.5000 0.5000 1
Ge1 0.0000 0.0000 0.5000 1
```

[6]
VASP calculation (PBE-GGA) on an optimized crystal structure of SrHfTe2N.

- theoretical density (g/cm3) = 5.897
- total energy (eV per atom) = -4.28
- calculated volume (Å³/cell) = 151
- E_form (uncorrected) (meV per atom) = 973
- excess energy over the best structure of this formula in the dataset (eV/atom) = 1.7673

The structure in CIF format:
```
data_SrHfTe2N
_chemical_formula_sum 'Sr1 Hf1 Te2 N1'
_symmetry_space_group_name_H-M 'P 4/m m m'
_symmetry_Int_Tables_number 123
_symmetry_space_group_name_Hall '-P 4 2'
_cell_length_a 5.9614
_cell_length_b 5.9614
_cell_length_c 4.2418
_cell_angle_alpha 90.00
_cell_angle_beta 90.00
_cell_angle_gamma 90.00
loop_
_atom_site_label
_atom_site_fract_x
_atom_site_fract_y
_atom_site_fract_z
_atom_site_occupancy
Sr1 0.0000 0.0000 0.0000 1
Hf1 0.5000 0.5000 0.5000 1
Te1 0.0000 0.5000 0.0000 1
N1 0.0000 0.0000 0.5000 1
```

[7]
VASP calculation (PBE-GGA) on an optimized crystal structure of Sr4PPtI2.

- theoretical density (g/cm3) = 4.889
- total energy (eV per atom) = -3.90
- calculated volume (Å³/cell) = 282
- E_form (uncorrected) (meV per atom) = -1240

The structure in CIF format:
```
data_Sr4PPtI2
_chemical_formula_sum 'Sr4 P1 Pt1 I2'
_symmetry_space_group_name_H-M 'P 1 2/m 1'
_symmetry_Int_Tables_number 10
_symmetry_space_group_name_Hall '-P 2y'
_cell_length_a 7.8096
_cell_length_b 4.4900
_cell_length_c 8.4294
_cell_angle_alpha 90.00
_cell_angle_beta 107.41
_cell_angle_gamma 90.00
loop_
_atom_site_label
_atom_site_fract_x
_atom_site_fract_y
_atom_site_fract_z
_atom_site_occupancy
Sr1 0.2329 0.0000 0.1911 1
Sr2 0.2643 0.5000 0.8004 1
P1 0.0000 0.5000 0.0000 1
Pt1 0.5000 0.0000 0.0000 1
I1 0.0000 0.0000 0.5000 1
I2 0.5000 0.5000 0.5000 1
```

[8]
VASP calculation (PBE-GGA) on an optimized crystal structure of GaGeIrSe2.

- theoretical density (g/cm3) = 6.861
- total energy (eV per atom) = -4.30
- calculated volume (Å³/cell) = 119
- E_form (uncorrected) (meV per atom) = 399

The structure in CIF format:
```
data_GaGeIrSe2
_chemical_formula_sum 'Ga1 Ge1 Ir1 Se2'
_symmetry_space_group_name_H-M 'P 4/m m m'
_symmetry_Int_Tables_number 123
_symmetry_space_group_name_Hall '-P 4 2'
_cell_length_a 5.0388
_cell_length_b 5.0388
_cell_length_c 4.6949
_cell_angle_alpha 90.00
_cell_angle_beta 90.00
_cell_angle_gamma 90.00
loop_
_atom_site_label
_atom_site_fract_x
_atom_site_fract_y
_atom_site_fract_z
_atom_site_occupancy
Ga1 0.0000 0.0000 0.0000 1
Ge1 0.5000 0.5000 0.0000 1
Ir1 0.0000 0.0000 0.5000 1
Se1 0.0000 0.5000 0.5000 1
```

[9]
VASP calculation (PBE-GGA) on an optimized crystal structure of PbSe6Br12.

- theoretical density (g/cm3) = 3.196
- total energy (eV per atom) = -2.51
- calculated volume (Å³/cell) = 2556
- E_form (uncorrected) (meV per atom) = -157

The structure in CIF format:
```
data_PbSe6Br12
_chemical_formula_sum 'Pb3 Se18 Br36'
_symmetry_space_group_name_H-M 'R 3'
_symmetry_Int_Tables_number 146
_symmetry_space_group_name_Hall 'R 3'
_cell_length_a 11.3113
_cell_length_b 11.3113
_cell_length_c 23.0687
_cell_angle_alpha 90.00
_cell_angle_beta 90.00
_cell_angle_gamma 120.00
loop_
_atom_site_label
_atom_site_fract_x
_atom_site_fract_y
_atom_site_fract_z
_atom_site_occupancy
Pb1 0.0000 0.0000 0.0000 1
Se1 0.0286 0.6371 0.5407 1
Se2 0.0629 0.5362 0.8622 1
Br1 0.0085 0.7892 0.7783 1
Br2 0.0562 0.4959 0.7570 1
Br3 0.0613 0.6028 0.9727 1
Br4 0.1396 0.4500 0.5930 1
```

[10]
VASP calculation (PBE-GGA) on an optimized crystal structure of Nd6GeS2Br3.

- theoretical density (g/cm3) = 6.271
- total energy (eV per atom) = -5.33
- calculated volume (Å³/cell) = 658
- E_form (uncorrected) (meV per atom) = -1459

The structure in CIF format:
```
data_Nd6GeS2Br3
_chemical_formula_sum 'Nd12 Ge2 S4 Br6'
_symmetry_space_group_name_H-M 'C 1 2/m 1'
_symmetry_Int_Tables_number 12
_symmetry_space_group_name_Hall '-C 2y'
_cell_length_a 18.9868
_cell_length_b 4.2140
_cell_length_c 8.6653
_cell_angle_alpha 90.00
_cell_angle_beta 108.43
_cell_angle_gamma 90.00
loop_
_atom_site_label
_atom_site_fract_x
_atom_site_fract_y
_atom_site_fract_z
_atom_site_occupancy
Nd1 0.0142 0.0000 0.2351 1
Nd2 0.1601 0.5000 0.1185 1
Nd3 0.1764 0.5000 0.5528 1
Ge1 0.0000 0.5000 0.0000 1
S1 0.1694 0.0000 0.3368 1
Br1 0.0000 0.5000 0.5000 1
Br2 0.1636 0.0000 0.8338 1
```

[11]
VASP calculation (PBE-GGA) on an optimized crystal structure of CsBa2Au2.

- theoretical density (g/cm3) = 5.129
- total energy (eV per atom) = -2.61
- calculated volume (Å³/cell) = 519
- excess energy over the best structure of this formula in the dataset (eV/atom) = 0.0882
- DFT formation energy (eV/atom) = -0.362

The structure in CIF format:
```
data_CsBa2Au2
_chemical_formula_sum 'Cs2 Ba4 Au4'
_symmetry_space_group_name_H-M 'I 4/m m m'
_symmetry_Int_Tables_number 139
_symmetry_space_group_name_Hall '-I 4 2'
_cell_length_a 6.1022
_cell_length_b 6.1022
_cell_length_c 13.9373
_cell_angle_alpha 90.00
_cell_angle_beta 90.00
_cell_angle_gamma 90.00
loop_
_atom_site_label
_atom_site_fract_x
_atom_site_fract_y
_atom_site_fract_z
_atom_site_occupancy
Cs1 0.0000 0.0000 0.0000 1
Ba1 0.0000 0.0000 0.3314 1
Au1 0.0000 0.5000 0.2500 1
```

[12]
VASP calculation (PBE-GGA) on an optimized crystal structure of CaGa2Cu3Ru2O12.

- theoretical density (g/cm3) = 6.152
- total energy (eV per atom) = -6.17
- calculated volume (Å³/cell) = 413
- E_form (uncorrected) (meV per atom) = -1246

The structure in CIF format:
```
data_CaGa2Cu3Ru2O12
_chemical_formula_sum 'Ca2 Ga4 Cu6 Ru4 O24'
_symmetry_space_group_name_H-M 'P n -3'
_symmetry_Int_Tables_number 201
_cell_length_a 7.4444
_cell_length_b 7.4444
_cell_length_c 7.4444
_cell_angle_alpha 90.00
_cell_angle_beta 90.00
_cell_angle_gamma 90.00
loop_
_symmetry_equiv_pos_as_xyz
'x,y,z'
'-x,-y,-z'
'-x+1/2,-y+1/2,z'
'x+1/2,y+1/2,-z'
'x,-y+1/2,-z+1/2'
'-x,y+1/2,z+1/2'
'-x+1/2,y,-z+1/2'
'x+1/2,-y,z+1/2'
'z,x,y'
'-z,-x,-y'
'z,-x+1/2,-y+1/2'
'-z,x+1/2,y+1/2'
'-z+1/2,x,-y+1/2'
'z+1/2,-x,y+1/2'
'-z+1/2,-x+1/2,y'
'z+1/2,x+1/2,-y'
'y,z,x'
'-y,-z,-x'
'-y+1/2,z,-x+1/2'
'y+1/2,-z,x+1/2'
'-y+1/2,-z+1/2,x'
'y+1/2,z+1/2,-x'
'y,-z+1/2,-x+1/2'
'-y,z+1/2,x+1/2'
loop_
_atom_site_label
_atom_site_fract_x
_atom_site_fract_y
_atom_site_fract_z
_atom_site_occupancy
Ca1 0.2500 0.2500 0.2500 1
Ga1 0.0000 0.0000 0.0000 1
Cu1 0.2500 0.2500 0.7500 1
Ru1 0.0000 0.0000 0.5000 1
O1 0.0572 0.7491 0.9235 1
```